A | Here is a geometry-optimized BiTe2PtN structure from Alexandria. Energies are from GGA-PBE.

Lattice parameters (Å, degrees): 5.850 5.850 4.144 90.00 90.00 90.00
Atoms (fractional coordinates):
Bi 0.000 0.000 0.000
Te 0.000 0.500 0.000
Te 0.500 0.000 0.000
Pt 0.500 0.500 0.500
N 0.000 0.000 0.500

Computed properties:
**Density of states at the Fermi level**: 1.272 states/eV/atom


B | Here is a geometry-optimized BiTe2PtN structure from Alexandria. Energies are from GGA-PBE.

Lattice parameters (Å, degrees): 5.679 5.679 3.754 90.00 90.00 90.00
Atoms (fractional coordinates):
Bi 0.000 0.000 0.000
Te 0.000 0.500 0.500
Te 0.500 0.000 0.500
Pt 0.500 0.500 0.500
N 0.500 0.500 0.000

Computed properties:
**Density of states at the Fermi level**: 0.430 states/eV/atom


Most stable of them? B.


A | Here is a geometry-optimized PuBiN structure from Alexandria. Energies are from GGA-PBE.

Lattice parameters (Å, degrees): 3.707 3.707 5.696 90.00 90.00 120.00
Atoms (fractional coordinates):
Pu 0.000 0.000 0.000
Bi 0.667 0.333 0.500
N 0.333 0.667 0.000

Computed properties:
**Density of states at the Fermi level**: 2.036 states/eV/atom


B | Here is a geometry-optimized PuBiN structure from Alexandria. Energies are from GGA-PBE.

Lattice parameters (Å, degrees): 8.842 8.842 8.842 154.58 154.58 36.26
Atoms (fractional coordinates):
Pu 0.080 0.080 0.000
Pu 0.920 0.920 0.000
Bi 0.299 0.299 0.000
Bi 0.701 0.701 0.000
N 0.000 0.500 0.500
N 0.500 0.000 0.500

Computed properties:
**Density of states at the Fermi level**: 2.226 states/eV/atom


Most stable of them? A.


A | Here is a geometry-optimized PuBiN structure from Alexandria. Energies are from GGA-PBE.

Lattice parameters (Å, degrees): 6.798 6.798 6.798 152.60 152.60 39.14
Atoms (fractional coordinates):
Pu 0.000 0.000 0.000
Bi 0.272 0.272 0.000
N 0.535 0.535 0.000

Computed properties:
**Density of states at the Fermi level**: 2.296 states/eV/atom


B | Here is a geometry-optimized PuBiN structure from Alexandria. Energies are from GGA-PBE.

Lattice parameters (Å, degrees): 3.883 3.883 9.780 101.41 101.41 90.00
Atoms (fractional coordinates):
Pu 0.192 0.192 0.383
Pu 0.808 0.808 0.617
Bi 0.420 0.420 0.841
Bi 0.580 0.580 0.159
N 0.250 0.750 0.500
N 0.750 0.250 0.500

Computed properties:
**Density of states at the Fermi level**: 2.175 states/eV/atom


Most stable of them? B.


A | Here is a geometry-optimized Pu2BiN structure from Alexandria. Energies are from GGA-PBE.

Lattice parameters (Å, degrees): 6.423 6.423 4.982 90.00 90.00 110.77
Atoms (fractional coordinates):
Pu 0.000 0.000 0.000
Pu 0.000 0.500 0.000
Pu 0.500 0.000 0.000
Pu 0.500 0.500 0.500
Bi 0.188 0.812 0.500
Bi 0.812 0.188 0.500
N 0.272 0.272 0.000
N 0.728 0.728 0.000

Computed properties:
**Density of states at the Fermi level**: 3.989 states/eV/atom


B | Here is a geometry-optimized Pu2BiN structure from Alexandria. Energies are from GGA-PBE.

Lattice parameters (Å, degrees): 3.199 3.199 8.183 90.00 90.00 90.00
Atoms (fractional coordinates):
Pu 0.000 0.000 0.174
Pu 0.000 0.000 0.826
Bi 0.500 0.500 0.500
N 0.500 0.500 0.000

Computed properties:
**Density of states at the Fermi level**: 2.375 states/eV/atom


C | Here is a geometry-optimized Pu2BiN structure from Alexandria. Energies are from GGA-PBE.

Lattice parameters (Å, degrees): 6.209 6.209 6.209 38.19 38.19 38.19
Atoms (fractional coordinates):
Pu 0.188 0.188 0.188
Pu 0.812 0.812 0.812
Bi 0.000 0.000 0.000
N 0.500 0.500 0.500

Computed properties:
**Density of states at the Fermi level**: 1.802 states/eV/atom


D | Here is a geometry-optimized Pu2BiN structure from Alexandria. Energies are from GGA-PBE.

Lattice parameters (Å, degrees): 8.362 8.362 8.362 24.63 24.63 24.63
Atoms (fractional coordinates):
Pu 0.000 0.000 0.000
Pu 0.221 0.221 0.221
Bi 0.444 0.444 0.444
N 0.611 0.611 0.611

Computed properties:
**Density of states at the Fermi level**: 3.690 states/eV/atom


Most stable of them? D.


A | Here is a geometry-optimized Pu3BiN3 structure from Alexandria. Energies are from GGA-PBE.

Lattice parameters (Å, degrees): 8.801 8.801 8.801 43.97 43.97 43.97
Atoms (fractional coordinates):
Pu 0.050 0.392 0.729
Pu 0.271 0.950 0.608
Pu 0.392 0.729 0.050
Pu 0.608 0.271 0.950
Pu 0.729 0.050 0.392
Pu 0.950 0.608 0.271
Bi 0.166 0.166 0.166
Bi 0.834 0.834 0.834
N 0.045 0.700 0.367
N 0.300 0.633 0.955
N 0.367 0.045 0.700
N 0.633 0.955 0.300
N 0.700 0.367 0.045
N 0.955 0.300 0.633

Computed properties:
**Density of states at the Fermi level**: 2.475 states/eV/atom


B | Here is a geometry-optimized Pu3BiN3 structure from Alexandria. Energies are from GGA-PBE.

Lattice parameters (Å, degrees): 8.769 8.769 4.250 90.00 90.00 120.00
Atoms (fractional coordinates):
Pu 0.053 0.735 0.250
Pu 0.265 0.318 0.250
Pu 0.318 0.053 0.750
Pu 0.682 0.947 0.250
Pu 0.735 0.682 0.750
Pu 0.947 0.265 0.750
Bi 0.333 0.667 0.750
Bi 0.667 0.333 0.250
N 0.024 0.784 0.750
N 0.216 0.240 0.750
N 0.240 0.024 0.250
N 0.760 0.976 0.750
N 0.784 0.760 0.250
N 0.976 0.216 0.250

Computed properties:
**Density of states at the Fermi level**: 3.094 states/eV/atom


Most stable of them? A.


A | Here is a geometry-optimized RbBiSeN2 structure from Alexandria. Energies are from GGA-PBE.

Lattice parameters (Å, degrees): 4.523 4.523 6.370 90.00 90.00 90.00
Atoms (fractional coordinates):
Rb 0.000 0.000 0.000
Bi 0.500 0.500 0.500
Se 0.000 0.000 0.500
N 0.000 0.500 0.000
N 0.500 0.000 0.000

Computed properties:
**Density of states at the Fermi level**: 0.638 states/eV/atom


B | Here is a geometry-optimized RbBiSeN2 structure from Alexandria. Energies are from GGA-PBE.

Lattice parameters (Å, degrees): 4.792 4.792 5.696 90.00 90.00 90.00
Atoms (fractional coordinates):
Rb 0.000 0.000 0.000
Bi 0.500 0.500 0.500
Se 0.500 0.500 0.000
N 0.000 0.500 0.500
N 0.500 0.000 0.500

Computed properties:
**Density of states at the Fermi level**: 0.344 states/eV/atom


Most stable of them? B.


A | Here is a geometry-optimized RbBiTeN2 structure from Alexandria. Energies are from GGA-PBE.

Lattice parameters (Å, degrees): 5.048 5.048 7.278 90.00 90.00 90.00
Atoms (fractional coordinates):
Rb 0.000 0.000 0.000
Bi 0.500 0.500 0.500
Te 0.000 0.000 0.500
N 0.000 0.500 0.000
N 0.500 0.000 0.000

Computed properties:
**Density of states at the Fermi level**: 0.673 states/eV/atom


B | Here is a geometry-optimized RbBiTeN2 structure from Alexandria. Energies are from GGA-PBE.

Lattice parameters (Å, degrees): 4.924 4.924 6.112 90.00 90.00 90.00
Atoms (fractional coordinates):
Rb 0.000 0.000 0.000
Bi 0.500 0.500 0.500
Te 0.500 0.500 0.000
N 0.000 0.500 0.500
N 0.500 0.000 0.500

Computed properties:
**Density of states at the Fermi level**: 0.342 states/eV/atom


Most stable of them? B.


A | Here is a geometry-optimized Re2BiN structure from Alexandria. Energies are from GGA-PBE.

Lattice parameters (Å, degrees): 7.072 7.072 7.072 139.27 139.27 58.97
Atoms (fractional coordinates):
Re 0.375 0.220 0.345
Re 0.780 0.125 0.155
Re 0.875 0.030 0.655
Re 0.970 0.625 0.845
Bi 0.250 0.750 0.500
Bi 0.500 0.500 0.000
N 0.000 0.000 0.000
N 0.750 0.250 0.500

Computed properties:
**Density of states at the Fermi level**: 0.424 states/eV/atom


B | Here is a geometry-optimized Re2BiN structure from Alexandria. Energies are from GGA-PBE.

Lattice parameters (Å, degrees): 4.451 4.451 4.451 60.00 60.00 60.00
Atoms (fractional coordinates):
Re 0.250 0.250 0.250
Re 0.750 0.750 0.750
Bi 0.000 0.000 0.000
N 0.500 0.500 0.500

Computed properties:
**Density of states at the Fermi level**: 1.116 states/eV/atom


Most stable of them? A.


A | Here is a geometry-optimized ReBiS2N structure from Alexandria. Energies are from GGA-PBE.

Lattice parameters (Å, degrees): 5.230 5.230 4.155 90.00 90.00 90.00
Atoms (fractional coordinates):
Re 0.000 0.000 0.000
Bi 0.500 0.500 0.500
S 0.000 0.500 0.500
S 0.500 0.000 0.500
N 0.500 0.500 0.000

Computed properties:
**Density of states at the Fermi level**: 1.189 states/eV/atom


B | Here is a geometry-optimized ReBiS2N structure from Alexandria. Energies are from GGA-PBE.

Lattice parameters (Å, degrees): 4.903 4.903 3.770 90.00 90.00 90.00
Atoms (fractional coordinates):
Re 0.000 0.000 0.000
Bi 0.500 0.500 0.500
S 0.000 0.500 0.000
S 0.500 0.000 0.000
N 0.000 0.000 0.500

Computed properties:
**Density of states at the Fermi level**: 0.697 states/eV/atom


Most stable of them? B.


A | Here is a geometry-optimized ReBiSe2N structure from Alexandria. Energies are from GGA-PBE.

Lattice parameters (Å, degrees): 5.176 5.176 3.769 90.00 90.00 90.00
Atoms (fractional coordinates):
Re 0.000 0.000 0.000
Bi 0.500 0.500 0.500
Se 0.000 0.500 0.000
Se 0.500 0.000 0.000
N 0.000 0.000 0.500

Computed properties:
**Density of states at the Fermi level**: 0.769 states/eV/atom


B | Here is a geometry-optimized ReBiSe2N structure from Alexandria. Energies are from GGA-PBE.

Lattice parameters (Å, degrees): 5.517 5.517 4.258 90.00 90.00 90.00
Atoms (fractional coordinates):
Re 0.000 0.000 0.000
Bi 0.500 0.500 0.500
Se 0.000 0.500 0.500
Se 0.500 0.000 0.500
N 0.500 0.500 0.000

Computed properties:
**Density of states at the Fermi level**: 1.045 states/eV/atom


Most stable of them? A.


A | Here is a geometry-optimized ReBiTe2N structure from Alexandria. Energies are from GGA-PBE.

Lattice parameters (Å, degrees): 5.899 5.899 4.189 90.00 90.00 90.00
Atoms (fractional coordinates):
Re 0.000 0.000 0.000
Bi 0.500 0.500 0.500
Te 0.000 0.500 0.500
Te 0.500 0.000 0.500
N 0.500 0.500 0.000

Computed properties:
**Density of states at the Fermi level**: 1.176 states/eV/atom


B | Here is a geometry-optimized ReBiTe2N structure from Alexandria. Energies are from GGA-PBE.

Lattice parameters (Å, degrees): 5.544 5.544 3.787 90.00 90.00 90.00
Atoms (fractional coordinates):
Re 0.000 0.000 0.000
Bi 0.500 0.500 0.500
Te 0.000 0.500 0.000
Te 0.500 0.000 0.000
N 0.000 0.000 0.500

Computed properties:
**Density of states at the Fermi level**: 0.668 states/eV/atom


Most stable of them? B.


A | Here is a geometry-optimized BiRh3N structure from Alexandria. Energies are from GGA-PBE.

Lattice parameters (Å, degrees): 4.237 4.237 4.237 90.00 90.00 90.00
Atoms (fractional coordinates):
Bi 0.000 0.000 0.000
Rh 0.000 0.500 0.500
Rh 0.500 0.000 0.500
Rh 0.500 0.500 0.000
N 0.500 0.500 0.500

Computed properties:
**Density of states at the Fermi level**: 1.404 states/eV/atom


B | Here is a geometry-optimized BiRh3N structure from Alexandria. Energies are from GGA-PBE.

Lattice parameters (Å, degrees): 5.064 5.064 5.064 90.00 90.00 90.00
Atoms (fractional coordinates):
Bi 0.000 0.000 0.000
Rh 0.000 0.000 0.500
Rh 0.000 0.500 0.000
Rh 0.500 0.000 0.000
N 0.500 0.500 0.500

Computed properties:
**Density of states at the Fermi level**: 1.015 states/eV/atom


Most stable of them? A.


A | Here is a geometry-optimized BiRhN structure from Alexandria. Energies are from GGA-PBE.

Lattice parameters (Å, degrees): 3.778 4.007 9.329 89.89 89.93 61.87
Atoms (fractional coordinates):
Bi 0.000 0.000 0.000
Bi 0.001 0.002 0.353
Rh 0.686 0.629 0.835
Rh 0.687 0.630 0.518
N 0.251 0.499 0.741
N 0.251 0.500 0.612

Computed properties:
**Density of states at the Fermi level**: 0.373 states/eV/atom


B | Here is a geometry-optimized BiRhN structure from Alexandria. Energies are from GGA-PBE.

Lattice parameters (Å, degrees): 3.549 3.549 12.357 97.94 97.94 90.01
Atoms (fractional coordinates):
Bi 0.170 0.170 0.334
Bi 0.830 0.830 0.666
Rh 0.281 0.281 0.565
Rh 0.719 0.719 0.435
N 0.474 0.474 0.954
N 0.526 0.526 0.046

Computed properties:
**Density of states at the Fermi level**: 0.606 states/eV/atom


Most stable of them? B.